VASP calculation (GGA+U) on InCoGeO4 after structural relaxation. Values from VASP.

Results
Its total DFT energy (no corrections) is -0.2125 hartree per atom. The calculation puts the mass density at 6.037 g/cm3. The space group is Imma.

```
&SYSTEM
  ibrav = 0, nat = 14, ntyp = 4
/
ATOMIC_SPECIES
In 114.82 In.upf
Co 58.93 Co.upf
Ge 72.64 Ge.upf
O 16.00 O.upf
ATOMIC_POSITIONS angstrom
In 0.0000 0.0000 0.0000
In 0.0000 3.5145 0.0000
Co -1.4525 1.7573 2.0907
Co 1.4525 1.7573 2.0907
Ge 2.9050 1.7573 -1.1484
Ge 0.0000 1.7573 5.3297
O 1.4545 1.7573 0.1122
O 4.3556 1.7573 0.1122
O 0.0000 0.4622 2.0701
O 2.9050 0.4622 2.1113
O 0.0000 3.0523 2.0701
O 2.9050 3.0523 2.1113
O -1.4505 1.7573 4.0691
O 1.4505 1.7573 4.0691
CELL_PARAMETERS angstrom
-2.9050 3.5145 4.1813
2.9050 -3.5145 4.1813
2.9050 3.5145 -4.1813
```